(1)
# LiCdSi2Rh, optimized geometry, DFT PBE
# - Fermi-level density of states: 0.8367 states/eV per atom
# - SG: No. 123
# - Spin magnetization: 0.000 μB per atom
# - Uncorrected energy: -4.091 eV/atom
data_LiCdSi2Rh
_symmetry_space_group_name_H-M 'P 1'
_symmetry_Int_Tables_number 1
_symmetry_space_group_name_Hall 'P 1'
_cell_length_a 4.591
_cell_length_b 5.195
_cell_length_c 4.591
_cell_angle_alpha 90.00
_cell_angle_beta 90.00
_cell_angle_gamma 90.00
loop_
_atom_site_label
_atom_site_type_symbol
_atom_site_fract_x
_atom_site_fract_y
_atom_site_fract_z
Rh1 Rh 0.000 0.000 0.000
Li1 Li 0.500 0.500 0.500
Si1 Si 0.000 0.000 0.500
Cd1 Cd 0.000 0.500 0.000
Si2 Si 0.500 0.000 0.000

---

(2)
# LiSmCdRh, optimized geometry, DFT PBE
# - Fermi-level density of states: 0.5699 states/eV per atom
# - SG: No. 216
# - Spin magnetization: 0.000 μB per atom
# - Formation enthalpy at 0 K: -0.391 eV per atom
data_LiSmCdRh
_symmetry_space_group_name_H-M 'P 1'
_symmetry_Int_Tables_number 1
_symmetry_space_group_name_Hall 'P 1'
_cell_length_a 4.822
_cell_length_b 4.822
_cell_length_c 4.822
_cell_angle_alpha 60.00
_cell_angle_beta 60.00
_cell_angle_gamma 60.00
loop_
_atom_site_label
_atom_site_type_symbol
_atom_site_fract_x
_atom_site_fract_y
_atom_site_fract_z
Cd1 Cd 0.750 0.750 0.750
Sm1 Sm 0.250 0.250 0.250
Rh1 Rh 0.500 0.500 0.500
Li1 Li 0.000 0.000 0.000

---

(3)
# SrLiCdRh, optimized geometry, DFT PBE
# - Energy relative to the lowest polymorph listed for this composition: 0.084 eV per atom
# - Fermi-level density of states: 0.5740 states/eV per atom
# - SG: No. 216
# - Spin magnetization: 0.000 μB per atom
# - Formation enthalpy at 0 K: -0.170 eV per atom
data_SrLiCdRh
_symmetry_space_group_name_H-M 'P 1'
_symmetry_Int_Tables_number 1
_symmetry_space_group_name_Hall 'P 1'
_cell_length_a 4.943
_cell_length_b 4.943
_cell_length_c 4.943
_cell_angle_alpha 60.00
_cell_angle_beta 60.00
_cell_angle_gamma 60.00
loop_
_atom_site_label
_atom_site_type_symbol
_atom_site_fract_x
_atom_site_fract_y
_atom_site_fract_z
Cd1 Cd 0.750 0.750 0.750
Rh1 Rh 0.000 0.000 0.000
Li1 Li 0.500 0.500 0.500
Sr1 Sr 0.250 0.250 0.250

---

(4)
# SrLiCd3Rh, optimized geometry, DFT PBE
# - Fermi-level density of states: 0.3240 states/eV per atom
# - SG: No. 63
# - Spin magnetization: 0.000 μB per atom
# - Formation enthalpy at 0 K: -0.156 eV per atom
data_SrLiCd3Rh
_symmetry_space_group_name_H-M 'P 1'
_symmetry_Int_Tables_number 1
_symmetry_space_group_name_Hall 'P 1'
_cell_length_a 5.958
_cell_length_b 6.899
_cell_length_c 7.580
_cell_angle_alpha 117.07
_cell_angle_beta 90.00
_cell_angle_gamma 90.00
loop_
_atom_site_label
_atom_site_type_symbol
_atom_site_fract_x
_atom_site_fract_y
_atom_site_fract_z
Sr1 Sr 0.750 0.293 0.587
Cd1 Cd 0.000 0.287 0.000
Sr2 Sr 0.250 0.707 0.413
Cd2 Cd 0.500 0.713 0.000
Cd3 Cd 0.250 0.155 0.311
Li1 Li 0.250 0.931 0.862
Li2 Li 0.750 0.069 0.138
Cd4 Cd 0.500 0.287 0.000
Cd5 Cd 0.000 0.713 0.000
Cd6 Cd 0.750 0.845 0.689
Rh1 Rh 0.250 0.362 0.723
Rh2 Rh 0.750 0.638 0.277

---

(5)
# SrLiCdRh, optimized geometry, DFT PBE
# - Energy relative to the lowest polymorph listed for this composition: 0.000 eV per atom
# - Fermi-level density of states: 0.4532 states/eV per atom
# - SG: No. 160
# - Spin magnetization: 0.000 μB per atom
# - Formation enthalpy at 0 K: -0.254 eV per atom
data_SrLiCdRh
_symmetry_space_group_name_H-M 'P 1'
_symmetry_Int_Tables_number 1
_symmetry_space_group_name_Hall 'P 1'
_cell_length_a 4.662
_cell_length_b 4.664
_cell_length_c 5.763
_cell_angle_alpha 113.82
_cell_angle_beta 90.00
_cell_angle_gamma 119.98
loop_
_atom_site_label
_atom_site_type_symbol
_atom_site_fract_x
_atom_site_fract_y
_atom_site_fract_z
Li1 Li 0.816 0.632 0.090
Cd1 Cd 0.110 0.220 0.973
Sr1 Sr 0.621 0.242 0.504
Rh1 Rh 0.419 0.839 0.901

---

(6)
# SrLiCd2Rh, optimized geometry, DFT PBE
# - Fermi-level density of states: 0.4693 states/eV per atom
# - SG: No. 123
# - Spin magnetization: 0.000 μB per atom
# - Formation enthalpy at 0 K: -0.160 eV per atom
data_SrLiCd2Rh
_symmetry_space_group_name_H-M 'P 1'
_symmetry_Int_Tables_number 1
_symmetry_space_group_name_Hall 'P 1'
_cell_length_a 5.233
_cell_length_b 5.233
_cell_length_c 4.747
_cell_angle_alpha 90.00
_cell_angle_beta 90.00
_cell_angle_gamma 90.00
loop_
_atom_site_label
_atom_site_type_symbol
_atom_site_fract_x
_atom_site_fract_y
_atom_site_fract_z
Li1 Li 0.000 0.000 0.500
Rh1 Rh 0.000 0.000 0.000
Sr1 Sr 0.500 0.500 0.500
Cd1 Cd 0.000 0.500 0.000
Cd2 Cd 0.500 0.000 0.000

---

(7)
# Sr2Li2CdRh, optimized geometry, DFT PBE
# - Fermi-level density of states: 0.5890 states/eV per atom
# - SG: No. 72
# - Spin magnetization: 0.000 μB per atom
# - Formation enthalpy at 0 K: -0.166 eV per atom
data_Sr2Li2CdRh
_symmetry_space_group_name_H-M 'P 1'
_symmetry_Int_Tables_number 1
_symmetry_space_group_name_Hall 'P 1'
_cell_length_a 6.640
_cell_length_b 7.041
_cell_length_c 8.638
_cell_angle_alpha 114.05
_cell_angle_beta 112.60
_cell_angle_gamma 90.00
loop_
_atom_site_label
_atom_site_type_symbol
_atom_site_fract_x
_atom_site_fract_y
_atom_site_fract_z
Sr1 Sr 0.152 0.450 0.304
Li1 Li 0.080 0.811 0.160
Sr2 Sr 0.652 0.854 0.304
Sr3 Sr 0.848 0.550 0.696
Cd1 Cd 0.750 0.000 0.000
Rh1 Rh 0.750 0.500 0.000
Rh2 Rh 0.250 0.500 0.000
Li2 Li 0.420 0.651 0.840
Li3 Li 0.920 0.189 0.840
Sr4 Sr 0.348 0.146 0.696
Li4 Li 0.580 0.349 0.160
Cd2 Cd 0.250 0.000 0.000

---

(8)
# LiThCdRh, optimized geometry, DFT PBE
# - Fermi-level density of states: 1.1354 states/eV per atom
# - SG: No. 216
# - Spin magnetization: 0.000 μB per atom
# - Formation enthalpy at 0 K: -0.349 eV per atom
data_LiThCdRh
_symmetry_space_group_name_H-M 'P 1'
_symmetry_Int_Tables_number 1
_symmetry_space_group_name_Hall 'P 1'
_cell_length_a 4.863
_cell_length_b 4.863
_cell_length_c 4.863
_cell_angle_alpha 60.00
_cell_angle_beta 60.00
_cell_angle_gamma 60.00
loop_
_atom_site_label
_atom_site_type_symbol
_atom_site_fract_x
_atom_site_fract_y
_atom_site_fract_z
Cd1 Cd 0.750 0.750 0.750
Li1 Li 0.000 0.000 0.000
Th1 Th 0.250 0.250 0.250
Rh1 Rh 0.500 0.500 0.500

---

(9)
# Li5TlCd2Rh2, optimized geometry, DFT PBE
# - Fermi-level density of states: 0.2685 states/eV per atom
# - SG: No. 127
# - Spin magnetization: 0.000 μB per atom
# - Formation enthalpy at 0 K: -0.165 eV per atom
data_Li5TlCd2Rh2
_symmetry_space_group_name_H-M 'P 1'
_symmetry_Int_Tables_number 1
_symmetry_space_group_name_Hall 'P 1'
_cell_length_a 4.039
_cell_length_b 9.300
_cell_length_c 9.300
_cell_angle_alpha 90.00
_cell_angle_beta 90.00
_cell_angle_gamma 90.00
loop_
_atom_site_label
_atom_site_type_symbol
_atom_site_fract_x
_atom_site_fract_y
_atom_site_fract_z
Tl1 Tl 0.000 0.500 0.500
Li1 Li 0.500 0.783 0.927
Rh1 Rh 0.000 0.889 0.389
Cd1 Cd 0.000 0.321 0.821
Rh2 Rh 0.000 0.611 0.889
Cd2 Cd 0.000 0.821 0.679
Cd3 Cd 0.000 0.179 0.321
Rh3 Rh 0.000 0.111 0.611
Li2 Li 0.500 0.000 0.500
Li3 Li 0.500 0.073 0.783
Li4 Li 0.500 0.427 0.283
Li5 Li 0.500 0.217 0.073
Li6 Li 0.500 0.573 0.717
Li7 Li 0.500 0.500 0.000
Rh4 Rh 0.000 0.389 0.111
Li8 Li 0.500 0.927 0.217
Li9 Li 0.500 0.283 0.573
Tl2 Tl 0.000 0.000 0.000
Li10 Li 0.500 0.717 0.427
Cd4 Cd 0.000 0.679 0.179

---

(10)
# LiTmCdRh, optimized geometry, DFT PBE
# - Fermi-level density of states: 0.4174 states/eV per atom
# - SG: No. 216
# - Spin magnetization: 0.000 μB per atom
# - Formation enthalpy at 0 K: -0.456 eV per atom
data_LiTmCdRh
_symmetry_space_group_name_H-M 'P 1'
_symmetry_Int_Tables_number 1
_symmetry_space_group_name_Hall 'P 1'
_cell_length_a 4.723
_cell_length_b 4.723
_cell_length_c 4.723
_cell_angle_alpha 60.00
_cell_angle_beta 60.00
_cell_angle_gamma 60.00
loop_
_atom_site_label
_atom_site_type_symbol
_atom_site_fract_x
_atom_site_fract_y
_atom_site_fract_z
Cd1 Cd 0.750 0.750 0.750
Tm1 Tm 0.250 0.250 0.250
Rh1 Rh 0.500 0.500 0.500
Li1 Li 0.000 0.000 0.000

---

(11)
# LiY2CdRh, optimized geometry, DFT PBE
# - Fermi-level density of states: 0.8214 states/eV per atom
# - SG: No. 123
# - Spin magnetization: 0.000 μB per atom
# - Formation enthalpy at 0 K: 0.568 eV per atom
data_LiY2CdRh
_symmetry_space_group_name_H-M 'P 1'
_symmetry_Int_Tables_number 1
_symmetry_space_group_name_Hall 'P 1'
_cell_length_a 5.607
_cell_length_b 4.946
_cell_length_c 5.607
_cell_angle_alpha 90.00
_cell_angle_beta 90.00
_cell_angle_gamma 90.00
loop_
_atom_site_label
_atom_site_type_symbol
_atom_site_fract_x
_atom_site_fract_y
_atom_site_fract_z
Li1 Li 0.500 0.500 0.500
Y1 Y 0.500 0.000 0.000
Cd1 Cd 0.000 0.000 0.000
Y2 Y 0.000 0.000 0.500
Rh1 Rh 0.000 0.500 0.000

---

(12)
# LiYCdRh, optimized geometry, DFT PBE
# - Fermi-level density of states: 0.4488 states/eV per atom
# - SG: No. 216
# - Spin magnetization: 0.000 μB per atom
# - Formation enthalpy at 0 K: -0.430 eV per atom
data_LiYCdRh
_symmetry_space_group_name_H-M 'P 1'
_symmetry_Int_Tables_number 1
_symmetry_space_group_name_Hall 'P 1'
_cell_length_a 4.770
_cell_length_b 4.770
_cell_length_c 4.770
_cell_angle_alpha 60.00
_cell_angle_beta 60.00
_cell_angle_gamma 60.00
loop_
_atom_site_label
_atom_site_type_symbol
_atom_site_fract_x
_atom_site_fract_y
_atom_site_fract_z
Rh1 Rh 0.500 0.500 0.500
Li1 Li 0.000 0.000 0.000
Y1 Y 0.750 0.750 0.750
Cd1 Cd 0.250 0.250 0.250